# Ba2Cu2I

A geometry-optimized Ba2Cu2I structure (PBE, the Alexandria database).

Its volume is 32.93 Å³/atom. The calculation puts the calculated total energy at -31.11 eV for the cell shown. Its crystal system is tetragonal. Its uncorrected formation energy is -0.393 eV per atom.

a b c (Å): 8.891 8.891 4.166
angles (deg): 90.00 90.00 90.00
Atoms (fractional coordinates):
Ba 0.185 0.315 0.000
Ba 0.315 0.815 0.000
Ba 0.685 0.185 0.000
Ba 0.815 0.685 0.000
Cu 0.097 0.597 0.500
Cu 0.403 0.097 0.500
Cu 0.597 0.903 0.500
Cu 0.903 0.403 0.500
I 0.000 0.000 0.500
I 0.500 0.500 0.500

# Ba3CuI

A geometry-optimized Ba3CuI structure (PBE, the Alexandria database).

Its volume is 50.45 Å³/atom. The calculation puts the calculated total energy at -12.87 eV for the cell shown. Its crystal system is cubic. Its uncorrected formation energy is -0.292 eV per atom.

a b c (Å): 6.318 6.318 6.318
angles (deg): 90.00 90.00 90.00
Atoms (fractional coordinates):
Ba 0.000 0.000 0.500
Ba 0.000 0.500 0.000
Ba 0.500 0.000 0.000
Cu 0.000 0.000 0.000
I 0.500 0.500 0.500

# Ba2CuI

A geometry-optimized Ba2CuI structure (PBE, the Alexandria database).

Its volume is 42.13 Å³/atom. The calculation puts the calculated total energy at -12.16 eV for the cell shown. Its crystal system is trigonal. Its uncorrected formation energy is -0.666 eV per atom.

a b c (Å): 9.276 9.276 9.276
angles (deg): 29.24 29.24 29.24
Atoms (fractional coordinates):
Ba 0.235 0.235 0.235
Ba 0.765 0.765 0.765
Cu 0.500 0.500 0.500
I 0.000 0.000 0.000

# BaCuI2

A geometry-optimized BaCuI2 structure (PBE, the Alexandria database).

Its volume is 34.11 Å³/atom. The calculation puts the calculated total energy at -23.15 eV for the cell shown. Its crystal system is tetragonal. Its uncorrected formation energy is -0.614 eV per atom.

a b c (Å): 7.089 7.089 7.089
angles (deg): 107.20 107.20 114.11
Atoms (fractional coordinates):
Ba 0.000 0.000 0.000
Ba 0.750 0.250 0.500
Cu 0.250 0.750 0.500
Cu 0.500 0.500 0.000
I 0.206 0.625 0.081
I 0.375 0.456 0.581
I 0.544 0.125 0.919
I 0.875 0.794 0.419

# BaCuI3

A geometry-optimized BaCuI3 structure (PBE, the Alexandria database).

Its volume is 39.57 Å³/atom. The calculation puts the calculated total energy at -64.83 eV for the cell shown. Its crystal system is orthorhombic. Its uncorrected formation energy is -1.108 eV per atom.

a b c (Å): 9.174 7.804 11.052
angles (deg): 90.00 90.00 90.00
Atoms (fractional coordinates):
Ba 0.122 0.051 0.000
Ba 0.378 0.551 0.500
Ba 0.622 0.449 0.000
Ba 0.878 0.949 0.500
Cu 0.152 0.604 0.164
Cu 0.348 0.104 0.664
Cu 0.652 0.896 0.164
Cu 0.848 0.396 0.664
I 0.029 0.365 0.492
I 0.182 0.848 0.692
I 0.183 0.852 0.312
I 0.317 0.352 0.812
I 0.318 0.348 0.192
I 0.471 0.865 0.992
I 0.529 0.135 0.492
I 0.682 0.652 0.692
I 0.683 0.648 0.312
I 0.817 0.148 0.812
I 0.818 0.152 0.192
I 0.971 0.635 0.992

# BaCuI3

A geometry-optimized BaCuI3 structure (PBE, the Alexandria database).

Its volume is 39.07 Å³/atom. The calculation puts the calculated total energy at -32.19 eV for the cell shown. Its crystal system is monoclinic. Its uncorrected formation energy is -1.085 eV per atom.

a b c (Å): 8.717 8.717 5.368
angles (deg): 90.73 90.73 73.37
Atoms (fractional coordinates):
Ba 0.234 0.234 0.258
Ba 0.766 0.766 0.742
Cu 0.327 0.673 0.500
Cu 0.672 0.328 0.500
I 0.065 0.671 0.258
I 0.329 0.935 0.742
I 0.398 0.399 0.752
I 0.601 0.602 0.248
I 0.671 0.066 0.258
I 0.934 0.329 0.742

# BaCu3I

A geometry-optimized BaCu3I structure (PBE, the Alexandria database).

Its volume is 28.10 Å³/atom. The calculation puts the calculated total energy at -12.91 eV for the cell shown. Its crystal system is cubic. Its uncorrected formation energy is 0.570 eV per atom.

a b c (Å): 5.198 5.198 5.198
angles (deg): 90.00 90.00 90.00
Atoms (fractional coordinates):
Ba 0.000 0.000 0.000
Cu 0.000 0.500 0.500
Cu 0.500 0.000 0.500
Cu 0.500 0.500 0.000
I 0.500 0.500 0.500

# Ba2CuI

A geometry-optimized Ba2CuI structure (PBE, the Alexandria database).

Its volume is 44.75 Å³/atom. The calculation puts the calculated total energy at -22.79 eV for the cell shown. Its crystal system is tetragonal. Its uncorrected formation energy is -0.476 eV per atom.

a b c (Å): 7.751 7.751 7.751
angles (deg): 110.63 110.63 107.17
Atoms (fractional coordinates):
Ba 0.087 0.625 0.962
Ba 0.375 0.337 0.462
Ba 0.663 0.125 0.038
Ba 0.875 0.913 0.538
Cu 0.000 0.000 0.000
Cu 0.750 0.250 0.500
I 0.250 0.750 0.500
I 0.500 0.500 0.000

# BaCuI3

A geometry-optimized BaCuI3 structure (PBE, the Alexandria database).

Its volume is 35.36 Å³/atom. The calculation puts the calculated total energy at -15.25 eV for the cell shown. Its crystal system is cubic. Its uncorrected formation energy is -0.915 eV per atom.

a b c (Å): 5.613 5.613 5.613
angles (deg): 90.00 90.00 90.00
Atoms (fractional coordinates):
Ba 0.000 0.000 0.000
Cu 0.500 0.500 0.500
I 0.000 0.500 0.500
I 0.500 0.000 0.500
I 0.500 0.500 0.000

# BaCuI3

A geometry-optimized BaCuI3 structure (PBE, the Alexandria database).

Its volume is 60.48 Å³/atom. The calculation puts the calculated total energy at -12.29 eV for the cell shown. Its crystal system is cubic. Its uncorrected formation energy is -0.324 eV per atom.

a b c (Å): 6.712 6.712 6.712
angles (deg): 90.00 90.00 90.00
Atoms (fractional coordinates):
Ba 0.000 0.000 0.000
Cu 0.500 0.500 0.500
I 0.000 0.000 0.500
I 0.000 0.500 0.000
I 0.500 0.000 0.000

# BaCu2I2

A geometry-optimized BaCu2I2 structure (PBE, the Alexandria database).

Its volume is 34.19 Å³/atom. The calculation puts the calculated total energy at -14.78 eV for the cell shown. Its crystal system is tetragonal. Its uncorrected formation energy is -0.313 eV per atom.

a b c (Å): 11.504 11.504 11.504
angles (deg): 160.42 160.42 27.83
Atoms (fractional coordinates):
Ba 0.000 0.000 0.000
Cu 0.250 0.750 0.500
Cu 0.750 0.250 0.500
I 0.405 0.405 0.000
I 0.595 0.595 0.000

# BaCu2I2

A geometry-optimized BaCu2I2 structure (PBE, the Alexandria database).

Its volume is 31.66 Å³/atom. The calculation puts the calculated total energy at -26.32 eV for the cell shown. Its crystal system is tetragonal. Its uncorrected formation energy is 0.011 eV per atom.

a b c (Å): 8.708 8.708 4.175
angles (deg): 90.00 90.00 90.00
Atoms (fractional coordinates):
Ba 0.000 0.000 0.000
Ba 0.500 0.500 0.000
Cu 0.102 0.398 0.500
Cu 0.398 0.898 0.500
Cu 0.602 0.102 0.500
Cu 0.898 0.602 0.500
I 0.151 0.651 0.000
I 0.349 0.151 0.000
I 0.651 0.849 0.000
I 0.849 0.349 0.000

Question: Look up the uncorrected formation energy of the eleventh one.
Answer: -0.313 eV per atom

Question: Look up the uncorrected formation energy of the fourth one.
Answer: -0.614 eV per atom

Question: Which of these has the lowest uncorrected formation energy?
Answer: number 5

Question: calculated total energy of number 4 (BaCuI2)?
Answer: -23.15 eV for the cell shown